Arrangement A

VASP calculation (PBEsol) on crystalline Ca5Sb3 at its relaxed geometry.

```
32
Lattice="12.4171 0.0000 0.0000 0.0000 9.4771 0.0000 0.0000 0.0000 8.1918" Properties=species:S:1:pos:R:3 pbc="T T T"
Ca 0.0558 2.3693 0.2901
Ca 0.9484 0.3957 5.6757
Ca 0.9484 4.3429 5.6757
Ca 2.5810 7.1078 2.8360
Ca 2.8371 2.3693 2.6094
Ca 3.3714 7.1078 6.7052
Ca 3.6275 2.3693 6.9318
Ca 5.2602 5.1343 1.5798
Ca 5.2602 9.0814 1.5798
Ca 6.1527 7.1078 4.3860
Ca 6.2644 2.3693 3.8058
Ca 7.1569 0.3957 6.6120
Ca 7.1569 4.3429 6.6120
Ca 8.7896 7.1078 1.2599
Ca 9.0456 2.3693 1.4865
Ca 9.5800 7.1078 5.5824
Ca 9.8360 2.3693 5.3558
Ca 11.4687 5.1343 2.5161
Ca 11.4687 9.0814 2.5161
Ca 12.3613 7.1078 7.9017
Sb 0.1956 7.1078 4.7309
Sb 2.1230 4.8480 0.5129
Sb 2.1230 9.3677 0.5129
Sb 4.0855 0.1094 4.6088
Sb 4.0855 4.6291 4.6088
Sb 6.0130 2.3693 0.6350
Sb 6.4041 7.1078 7.5567
Sb 8.3315 4.8480 3.5829
Sb 8.3315 9.3677 3.5829
Sb 10.2941 0.1094 7.6788
Sb 10.2941 4.6291 7.6788
Sb 12.2215 2.3693 3.4608
```

Properties
Symmetry ... Pnma

Arrangement B

VASP calculation (PBEsol) on crystalline Ca5Sb3 at its relaxed geometry.

```
16
Lattice="8.9776 0.0000 0.0000 -4.4888 7.7748 0.0000 0.0000 0.0000 6.8414" Properties=species:S:1:pos:R:3 pbc="T T T"
Ca -1.1321 1.9608 1.7103
Ca -3.3567 5.8140 5.1310
Ca 2.2641 0.0000 1.7103
Ca 1.1321 1.9608 5.1310
Ca 0.0000 5.1832 0.0000
Ca 0.0000 5.1832 3.4207
Ca 4.4888 2.5916 0.0000
Ca 4.4888 2.5916 3.4207
Ca 6.7134 0.0000 5.1310
Ca 3.3567 5.8140 1.7103
Sb -1.7485 3.0286 5.1310
Sb -2.7402 4.7462 1.7103
Sb 3.4971 0.0000 5.1310
Sb 1.7485 3.0286 1.7103
Sb 5.4805 0.0000 1.7103
Sb 2.7402 4.7462 5.1310
```

Properties
Symmetry ... P6_3/mcm

Stability summary - winner: arrangement B; margin: 9 meV per atom.

Arrangement A

VASP calculation (PBEsol) on crystalline Ca2SbSe at its relaxed geometry.

```
4
Lattice="0.0000 3.7335 3.7335 3.7335 0.0000 3.7335 3.7335 3.7335 0.0000" Properties=species:S:1:pos:R:3 pbc="T T T"
Ca 1.8668 1.8668 1.8668
Ca 5.6003 5.6003 5.6003
Sb 0.0000 0.0000 0.0000
Se 3.7335 3.7335 3.7335
```

Properties
Symmetry ... Fm-3m

Arrangement B

VASP calculation (PBEsol) on crystalline Ca2SbSe at its relaxed geometry.

```
4
Lattice="2.0394 1.1774 7.7221 -2.0394 1.1774 7.7221 0.0000 -2.3549 7.7221" Properties=species:S:1:pos:R:3 pbc="T T T"
Ca 0.0000 0.0000 5.5718
Ca 0.0000 0.0000 17.5946
Sb 0.0000 0.0000 0.0000
Se 0.0000 0.0000 11.5832
```

Properties
Symmetry ... R-3m

Stability summary - winner: arrangement B; margin: 282 meV per atom.

Arrangement A

VASP calculation (PBEsol) on crystalline CaTlSb2 at its relaxed geometry.

```
4
Lattice="3.3944 -4.5711 0.0000 3.3944 4.5711 0.0000 0.0000 0.0000 3.5240" Properties=species:S:1:pos:R:3 pbc="T T T"
Ca 0.0000 0.0000 0.0000
Tl 3.3944 0.0000 0.0000
Sb 1.6972 2.2855 1.7620
Sb 1.6972 -2.2855 1.7620
```

Properties
Symmetry ... Cmmm

Arrangement B

VASP calculation (PBEsol) on crystalline CaTlSb2 at its relaxed geometry.

```
4
Lattice="5.9381 -1.9822 0.0000 5.9381 1.9822 0.0000 -2.0685 0.0000 4.6982" Properties=species:S:1:pos:R:3 pbc="T T T"
Ca 0.0000 0.0000 0.0000
Tl 8.6574 0.0000 1.0368
Sb 1.3065 0.0000 3.1437
Sb 5.0238 0.0000 2.4406
```

Properties
Symmetry ... Cm

Arrangement C

VASP calculation (PBEsol) on crystalline CaTlSb2 at its relaxed geometry.

```
4
Lattice="4.7503 0.0000 0.0000 0.0000 4.7503 0.0000 0.0000 0.0000 4.7720" Properties=species:S:1:pos:R:3 pbc="T T T"
Ca 0.0000 0.0000 0.0000
Tl 2.3752 2.3752 0.0000
Sb 0.0000 2.3752 2.3860
Sb 2.3752 0.0000 2.3860
```

Properties
Symmetry ... P4/mmm

Stability summary - winner: arrangement C; margin: 40 meV per atom.

Arrangement A

VASP calculation (PBEsol) on crystalline CaTl2Sb at its relaxed geometry.

```
4
Lattice="4.6257 0.0000 0.0000 0.0000 4.6257 0.0000 0.0000 0.0000 5.1280" Properties=species:S:1:pos:R:3 pbc="T T T"
Ca 0.0000 0.0000 0.0000
Tl 0.0000 2.3128 2.5640
Tl 2.3128 0.0000 2.5640
Sb 2.3128 2.3128 0.0000
```

Properties
Symmetry ... P4/mmm

Arrangement B

VASP calculation (PBEsol) on crystalline CaTl2Sb at its relaxed geometry.

```
4
Lattice="0.0000 3.8372 3.8372 3.8372 0.0000 3.8372 3.8372 3.8372 0.0000" Properties=species:S:1:pos:R:3 pbc="T T T"
Ca 0.0000 0.0000 0.0000
Tl 1.9186 1.9186 1.9186
Tl 3.8372 3.8372 3.8372
Sb 5.7558 5.7558 5.7558
```

Properties
Symmetry ... F-43m

Stability summary - winner: arrangement A; margin: 143 meV per atom.

Arrangement A

VASP calculation (PBEsol) on crystalline Ca2ZnSb at its relaxed geometry.

```
4
Lattice="4.3307 0.0000 0.0000 0.0000 2.1967 5.6717 0.0000 -2.1967 5.6717" Properties=species:S:1:pos:R:3 pbc="T T T"
Ca 0.0000 0.0000 0.0000
Ca 2.1653 0.0000 3.1854
Zn 2.1653 0.0000 6.3062
Sb 0.0000 0.0000 8.1054
```

Properties
Symmetry ... Amm2

Arrangement B

VASP calculation (PBEsol) on crystalline Ca2ZnSb at its relaxed geometry.

```
4
Lattice="4.4172 0.0000 0.0000 0.0000 4.4172 0.0000 0.0000 0.0000 6.1363" Properties=species:S:1:pos:R:3 pbc="T T T"
Ca 0.0000 0.0000 0.0000
Ca 2.2086 2.2086 2.7917
Zn 2.2086 2.2086 5.8377
Sb 0.0000 0.0000 3.0797
```

Properties
Symmetry ... P4mm

Arrangement C

VASP calculation (PBEsol) on crystalline Ca2ZnSb at its relaxed geometry.

```
4
Lattice="4.9610 0.0000 0.0000 0.0000 4.9610 0.0000 0.0000 0.0000 4.1563" Properties=species:S:1:pos:R:3 pbc="T T T"
Ca 0.0000 2.4805 0.0000
Ca 2.4805 0.0000 0.0000
Zn 0.0000 0.0000 2.0781
Sb 2.4805 2.4805 2.0781
```

Properties
Symmetry ... P4/mmm

Stability summary - winner: arrangement A; margin: 45 meV per atom.

Arrangement A

VASP calculation (PBEsol) on crystalline CaZrSb2 at its relaxed geometry.

```
4
Lattice="2.0699 1.1950 7.2924 -2.0699 1.1950 7.2924 0.0000 -2.3901 7.2924" Properties=species:S:1:pos:R:3 pbc="T T T"
Ca 0.0000 0.0000 0.0000
Zr 0.0000 0.0000 10.9386
Sb 0.0000 0.0000 5.3153
Sb 0.0000 0.0000 16.5620
```

Properties
Symmetry ... R-3m

Arrangement B

VASP calculation (PBEsol) on crystalline CaZrSb2 at its relaxed geometry.

```
4
Lattice="5.4813 -1.9790 0.0000 5.4813 1.9790 0.0000 -0.0118 0.0000 4.6325" Properties=species:S:1:pos:R:3 pbc="T T T"
Ca 0.0000 0.0000 0.0000
Zr 8.2379 0.0000 2.3126
Sb 2.8986 0.0000 4.6276
Sb 5.2258 0.0000 2.3151
```

Properties
Symmetry ... Cm

Stability summary - winner: arrangement A; margin: 195 meV per atom.

Arrangement A

VASP calculation (PBEsol) on crystalline CaScSe2 at its relaxed geometry.

```
8
Lattice="-3.1410 3.1410 6.0939 3.1410 -3.1410 6.0939 3.1410 3.1410 -6.0939" Properties=species:S:1:pos:R:3 pbc="T T T"
Ca 0.0000 0.0000 0.0000
Ca 0.0000 3.1410 3.0470
Sc 3.1410 0.0000 3.0470
Sc 0.0000 0.0000 6.0939
Se 1.5705 -1.3872 4.5704
Se 1.7539 1.5705 1.5235
Se 1.5705 4.5282 -1.5235
Se 1.3872 1.5705 7.6174
```

Properties
Symmetry ... I-42d

Arrangement B

VASP calculation (PBEsol) on crystalline CaScSe2 at its relaxed geometry.

```
4
Lattice="3.9687 0.0000 0.0000 0.0000 3.9687 0.0000 0.0000 0.0000 5.5980" Properties=species:S:1:pos:R:3 pbc="T T T"
Ca 0.0000 0.0000 0.0000
Sc 1.9843 1.9843 2.7990
Se 0.0000 0.0000 2.7990
Se 1.9843 1.9843 0.0000
```

Properties
Symmetry ... P4/mmm

Stability summary - winner: arrangement B; margin: 344 meV per atom.

Arrangement A

VASP calculation (PBEsol) on crystalline CaScTc2 at its relaxed geometry.

```
4
Lattice="2.7443 0.0000 0.0000 0.0000 2.7443 0.0000 0.0000 0.0000 9.3333" Properties=species:S:1:pos:R:3 pbc="T T T"
Ca 0.0000 0.0000 0.0000
Sc 0.0000 0.0000 4.6667
Tc 1.3722 1.3722 2.4760
Tc 1.3722 1.3722 6.8573
```

Properties
Symmetry ... P4/mmm

Arrangement B

VASP calculation (PBEsol) on crystalline CaScTc2 at its relaxed geometry.

```
4
Lattice="2.8631 -4.5674 0.0000 2.8631 4.5674 0.0000 -0.8754 0.0000 2.6468" Properties=species:S:1:pos:R:3 pbc="T T T"
Ca 0.0000 0.0000 0.0000
Sc 2.8631 0.0000 0.0000
Tc 0.9938 2.2837 1.3234
Tc 0.9938 -2.2837 1.3234
```

Properties
Symmetry ... C2/m

Arrangement C

VASP calculation (PBEsol) on crystalline CaScTc2 at its relaxed geometry.

```
4
Lattice="3.2637 0.0000 0.0000 0.0000 4.5580 0.0000 0.0000 0.0000 4.6523" Properties=species:S:1:pos:R:3 pbc="T T T"
Ca 0.0000 0.0000 0.0000
Sc 1.6318 0.0000 2.3262
Tc 0.0000 2.2790 2.3262
Tc 1.6318 2.2790 0.0000
```

Properties
Symmetry ... Pmmm

Stability summary - winner: arrangement B; margin: 11 meV per atom.

Arrangement A

VASP calculation (PBEsol) on crystalline Ca2ScW at its relaxed geometry.

```
4
Lattice="5.5130 -1.5302 0.0000 5.5130 1.5302 0.0000 -0.7912 0.0000 5.5580" Properties=species:S:1:pos:R:3 pbc="T T T"
Ca 2.4191 0.0000 1.2923
Ca 7.8156 0.0000 4.2657
Sc -0.3956 0.0000 2.7790
W 5.5130 0.0000 0.0000
```

Properties
Symmetry ... C2/m

Arrangement B

VASP calculation (PBEsol) on crystalline Ca2ScW at its relaxed geometry.

```
4
Lattice="0.0000 3.6048 3.6048 3.6048 0.0000 3.6048 3.6048 3.6048 0.0000" Properties=species:S:1:pos:R:3 pbc="T T T"
Ca 0.0000 0.0000 0.0000
Ca 1.8024 1.8024 1.8024
Sc 5.4071 5.4071 5.4071
W 3.6048 3.6048 3.6048
```

Properties
Symmetry ... F-43m

Stability summary - winner: arrangement A; margin: 23 meV per atom.

Arrangement A

VASP calculation (PBEsol) on crystalline CaScW2 at its relaxed geometry.

```
4
Lattice="2.7588 0.0000 0.0000 0.0000 2.7588 0.0000 0.0000 0.0000 9.8581" Properties=species:S:1:pos:R:3 pbc="T T T"
Ca 0.0000 0.0000 0.0000
Sc 0.0000 0.0000 4.9291
W 1.3794 1.3794 2.6186
W 1.3794 1.3794 7.2395
```

Properties
Symmetry ... P4/mmm

Arrangement B

VASP calculation (PBEsol) on crystalline CaScW2 at its relaxed geometry.

```
4
Lattice="1.7351 -2.1741 0.0000 1.7351 2.1741 0.0000 0.0000 0.0000 9.8779" Properties=species:S:1:pos:R:3 pbc="T T T"
Ca 0.0000 0.0000 0.0000
Sc 0.0000 0.0000 4.9390
W 1.7351 0.0000 2.6169
W 1.7351 0.0000 7.2610
```

Properties
Symmetry ... Cmmm

Arrangement C

VASP calculation (PBEsol) on crystalline CaScW2 at its relaxed geometry.

```
4
Lattice="1.6534 -2.3995 0.0000 1.6534 2.3995 0.0000 0.0000 0.0000 10.0236" Properties=species:S:1:pos:R:3 pbc="T T T"
Ca 0.0000 0.0000 0.0000
Sc 1.6534 0.0000 6.8646
W 0.0000 0.0000 4.5734
W 1.6534 0.0000 2.5794
```

Properties
Symmetry ... Cmm2

Stability summary - winner: arrangement C; margin: 146 meV per atom.

Arrangement A

VASP calculation (PBEsol) on crystalline CaY2Sc at its relaxed geometry.

```
4
Lattice="3.5064 -4.9146 0.0000 3.5064 4.9146 0.0000 0.0000 0.0000 3.4870" Properties=species:S:1:pos:R:3 pbc="T T T"
Ca 0.0000 0.0000 0.0000
Y 1.7532 2.4573 1.7435
Y 1.7532 -2.4573 1.7435
Sc 3.5064 0.0000 0.0000
```

Properties
Symmetry ... Cmmm

Arrangement B

VASP calculation (PBEsol) on crystalline CaY2Sc at its relaxed geometry.

```
4
Lattice="3.7982 0.0000 0.0000 0.0000 3.7982 0.0000 0.0000 0.0000 8.7063" Properties=species:S:1:pos:R:3 pbc="T T T"
Ca 0.0000 0.0000 0.0000
Y 1.8991 1.8991 2.5706
Y 1.8991 1.8991 6.1356
Sc 0.0000 0.0000 4.3531
```

Properties
Symmetry ... P4/mmm

Arrangement C

VASP calculation (PBEsol) on crystalline CaY2Sc at its relaxed geometry.

```
4
Lattice="1.7432 1.0065 11.5931 -1.7432 1.0065 11.5931 0.0000 -2.0129 11.5931" Properties=species:S:1:pos:R:3 pbc="T T T"
Ca 0.0000 0.0000 0.0000
Y 0.0000 0.0000 8.4197
Y 0.0000 0.0000 26.3594
Sc 0.0000 0.0000 17.3896
```

Properties
Symmetry ... R-3m

Arrangement D

VASP calculation (PBEsol) on crystalline CaY2Sc at its relaxed geometry.

```
4
Lattice="0.0000 3.9197 3.9197 3.9197 0.0000 3.9197 3.9197 3.9197 0.0000" Properties=species:S:1:pos:R:3 pbc="T T T"
Ca 0.0000 0.0000 0.0000
Y 1.9599 1.9599 1.9599
Y 5.8796 5.8796 5.8796
Sc 3.9197 3.9197 3.9197
```

Properties
Symmetry ... Fm-3m

Stability summary - winner: arrangement B; margin: 16 meV per atom.